{"formula": "Sm2HgH", "functional": "GGA-PBE", "state": "relaxed", "cell": [[6.8851, 0.0000, 0.0000], [0.0000, 6.8145, 0.0000], [-0.8168, 0.0000, 7.8314]], "species": ["Sm", "Sm", "Sm", "Sm", "Sm", "Sm", "Sm", "Sm", "Hg", "Hg", "Hg", "Hg", "H", "H", "H", "H"], "frac_coords": [[0.1191, 0.1480, 0.3258], [0.1191, 0.3520, 0.8258], [0.2977, 0.6584, 0.4943], [0.2977, 0.8416, 0.9943], [0.7023, 0.1584, 0.0057], [0.7023, 0.3416, 0.5057], [0.8809, 0.6480, 0.1742], [0.8809, 0.8520, 0.6742], [0.4208, 0.0582, 0.6721], [0.4208, 0.4418, 0.1721], [0.5792, 0.5582, 0.8279], [0.5792, 0.9418, 0.3279], [0.0294, 0.6644, 0.9148], [0.0294, 0.8356, 0.4148], [0.9706, 0.1644, 0.5852], [0.9706, 0.3356, 0.0852]], "dos_ef_per_ev_fu": 2.78, "relative_energy_ev_per_fu": 0.03}

---

{"formula": "Sm2HgH", "functional": "GGA-PBE", "state": "relaxed", "cell": [[3.3927, 0.0000, 0.0000], [0.0000, 3.3927, 0.0000], [0.0000, 0.0000, 7.6230]], "species": ["Sm", "Sm", "Hg", "H"], "frac_coords": [[0.0000, 0.0000, 0.2150], [0.0000, 0.0000, 0.7850], [0.5000, 0.5000, 0.5000], [0.5000, 0.5000, 0.0000]], "dos_ef_per_ev_fu": 3.08, "relative_energy_ev_per_fu": 1.28}

---

{"formula": "Sm2HgH", "functional": "GGA-PBE", "state": "relaxed", "cell": [[1.8482, 1.0671, 7.7391], [-1.8482, 1.0671, 7.7391], [0.0000, -2.1342, 7.7391]], "species": ["Sm", "Sm", "Hg", "H"], "frac_coords": [[0.2273, 0.2273, 0.2273], [0.7727, 0.7727, 0.7727], [0.0000, 0.0000, 0.0000], [0.5000, 0.5000, 0.5000]], "dos_ef_per_ev_fu": 4.14, "relative_energy_ev_per_fu": 0.38}

---

{"formula": "Sm2HgH", "functional": "GGA-PBE", "state": "relaxed", "cell": [[1.8565, 1.0719, 7.6407], [-1.8565, 1.0719, 7.6407], [0.0000, -2.1437, 7.6407]], "species": ["Sm", "Sm", "Hg", "H"], "frac_coords": [[0.0000, 0.0000, 0.0000], [0.2117, 0.2117, 0.2117], [0.4387, 0.4387, 0.4387], [0.6064, 0.6064, 0.6064]], "dos_ef_per_ev_fu": 3.12, "relative_energy_ev_per_fu": 0.37}